BIF3 (PBE-GGA, optimized geometry); ΔE_f (raw) = -2.20 eV per atom; energy relative to the lowest polymorph listed for this composition = 0 meV/atom; mass density = 2.6 g cm⁻³
1.0
9.476 0.000 3.552
0.000 5.632 0.000
4.321 0.000 6.286
B I F
2 2 6
Cartesian
10.477 1.408 8.482
3.320 4.224 1.356
9.242 1.408 3.922
4.556 4.224 5.916
7.963 5.374 7.053
7.963 3.074 7.053
2.722 4.224 2.539
11.076 1.408 7.299
5.834 0.258 2.784
5.834 2.558 2.784

ScMoCl2 (PBE-GGA, optimized geometry); ΔE_f (raw) = 0.00 eV per atom; energy relative to the lowest polymorph listed for this composition = 806 meV/atom; mass density = 5.5 g cm⁻³
1.0
4.443 0.000 0.000
0.000 4.443 0.000
0.000 0.000 3.261
Sc Mo Cl
1 1 2
Cartesian
0.000 2.222 1.630
2.222 0.000 1.630
0.000 0.000 0.000
2.222 2.222 0.000

RbBiPtPb (PBE-GGA, optimized geometry); energy of formation = -0.99 eV/f.u.; mass density = 7.6 g cm⁻³
1.0
-1.919 0.011 4.195
1.316 -3.108 3.145
5.885 5.207 2.657
Rb Bi Pt Pb
1 1 1 1
Cartesian
1.120 0.072 3.233
5.031 2.680 7.532
4.818 4.202 2.359
3.757 2.409 4.415

AcTmO3 (PBE-GGA, optimized geometry); ΔE_f (raw) = -3.32 eV per atom; mass density = 8.8 g cm⁻³
1.0
5.845 0.000 0.000
2.922 5.062 0.000
2.922 1.687 5.656
Ac Tm O
2 2 6
Cartesian
2.922 1.687 3.335
8.767 5.062 2.321
5.845 3.374 5.423
5.845 3.374 0.233
5.214 5.186 1.360
7.729 3.015 1.360
4.591 1.922 1.360
7.729 3.734 4.296
4.591 4.826 4.296
5.214 1.563 4.296

SrLiGdGe (PBE-GGA, optimized geometry); energy of formation = -1.20 eV/f.u.; mass density = 5.1 g cm⁻³
1.0
-0.576 -3.136 -4.228
-2.878 -4.430 0.362
-4.688 -0.319 -2.441
Sr Ge Gd Li
1 1 1 1
Cartesian
-4.071 -3.942 -3.154
-2.035 -1.971 -1.577
0.000 0.000 0.000
-6.106 -5.913 -4.730

Ac4LaTh3P8 (PBE-GGA, optimized geometry); energy of formation = -24.32 eV/f.u.; mass density = 7.3 g cm⁻³
1.0
8.579 0.000 0.000
0.000 8.622 0.024
-4.289 -4.285 6.069
Ac La Th P
4 1 3 8
Cartesian
4.289 0.000 0.000
2.145 -2.143 3.035
0.000 0.000 0.000
-2.145 -2.143 3.035
0.000 4.311 0.012
4.289 4.311 0.012
2.145 2.168 3.047
-2.145 2.168 3.047
-2.109 2.087 5.996
0.000 4.195 3.012
0.000 0.132 3.125
2.109 2.087 5.996
2.180 2.249 0.097
4.289 4.205 2.968
4.289 0.142 3.082
6.399 2.249 0.097

ErScSn2 (PBE-GGA, optimized geometry); energy of formation = -2.07 eV/f.u.; energy relative to the lowest polymorph listed for this composition = 99 meV/atom; mass density = 7.5 g cm⁻³
1.0
-3.404 1.728 -0.659
-0.131 -1.602 -3.525
-3.147 -5.246 2.501
Sc Sn Er
1 2 1
Cartesian
-1.767 0.063 -2.092
-2.418 -4.031 1.922
-0.729 -1.215 0.579
-3.341 -2.560 -0.841

In5SnPb2 (PBE-GGA, optimized geometry); energy of formation = 0.17 eV/f.u.; mass density = 8.1 g cm⁻³
1.0
-3.286 -2.303 2.873
4.656 -0.742 4.730
-3.678 12.140 5.526
In Sn Pb
10 2 4
Cartesian
0.000 0.000 0.000
0.489 5.699 5.128
-0.493 8.763 6.461
1.471 2.634 3.795
-0.869 3.046 1.448
1.847 8.351 8.808
-3.739 9.271 7.396
1.431 -0.178 5.733
-1.804 3.186 4.730
-0.504 5.908 8.399
-1.839 6.070 2.763
2.328 -0.371 2.365
-2.813 6.238 6.023
0.505 2.855 7.106
-0.893 0.156 3.343
-1.416 8.938 9.786

Tb2Ho6Tc (PBE-GGA, optimized geometry); energy of formation = 0.09 eV/f.u.; mass density = 8.8 g cm⁻³
1.0
3.506 0.434 0.550
1.131 8.492 -2.303
-0.904 -6.298 10.741
Tb Ho Tc
2 6 1
Cartesian
2.696 3.752 3.091
1.036 -1.123 5.896
1.345 0.466 2.675
2.751 -3.112 8.170
2.388 2.162 6.312
1.519 2.444 0.009
0.982 5.741 0.818
2.213 0.184 8.979
0.000 0.000 0.000

K3SbP4 (PBE-GGA, optimized geometry); ΔE_f (raw) = -0.25 eV per atom; mass density = 2.4 g cm⁻³
1.0
-0.923 -3.129 -6.581
-5.717 -7.150 1.554
-6.193 4.203 -1.084
Sb K P
2 6 8
Cartesian
-7.551 -3.502 -0.871
-5.282 -2.575 -5.239
-7.941 -6.178 -3.503
-4.893 0.102 -2.608
-4.704 -5.225 0.936
-8.130 -0.852 -7.046
-10.495 -3.134 -3.126
-2.339 -2.943 -2.985
-4.903 -5.038 -4.503
-11.153 -6.224 -4.241
-7.930 -1.038 -1.607
-1.681 0.148 -1.869
-3.184 -1.761 -6.779
-8.009 -4.448 -6.190
-9.650 -4.315 0.669
-4.824 -1.628 0.079

AcAgSnPd3 (PBE-GGA, optimized geometry); energy of formation = -2.76 eV/f.u.; mass density = 9.5 g cm⁻³
1.0
7.194 0.000 0.000
0.000 6.020 0.000
0.000 -3.010 6.248
Ac Ag Sn Pd
2 2 2 6
Cartesian
5.395 0.000 4.142
1.798 3.010 2.107
1.798 3.010 5.099
5.395 0.000 1.149
1.798 0.000 4.626
5.395 3.010 1.622
1.798 0.000 1.891
0.000 1.597 0.000
3.597 4.423 0.000
3.597 1.597 0.000
0.000 4.423 0.000
5.395 3.010 4.358

LaPm4Gd (PBE-GGA, optimized geometry); energy of formation = 1.40 eV/f.u.; mass density = 6.7 g cm⁻³
1.0
6.732 0.000 0.000
3.366 5.830 0.000
3.366 1.943 5.497
Gd Pm La
1 4 1
Cartesian
0.000 0.000 0.000
6.732 3.887 0.685
6.732 1.942 3.436
8.417 4.860 3.436
5.048 4.860 3.436
3.366 1.943 1.374

The lowest mass density belongs to which entry?
K3SbP4

Among the records above, which one has the lowest mass density?
K3SbP4

What is the formula in the second record?
ScMoCl2

Which of these has the lowest mass density?
K3SbP4